A plane-wave DFT calculation with PBE-GGA was carried out for Ho4AlZn2Au after structural relaxation.

Results
Magnetization, μB/cell: 0.00
Electronic total energy, eV/atom: -3.9802
Density of states at the Fermi level, states/eV per atom: 0.535
Formation energy, eV per atom: -0.50

abc: 5.0486 5.0486 24.7582
angles: 90.00 90.00 120.00
Space group R-3m (No. 166, hexagonal axes)
Inequivalent atoms, fractional coordinates:
Ho 0.0000 0.0000 0.1238 (multiplicity 6)
Ho 0.0000 0.0000 0.3741 (multiplicity 6)
Al 0.0000 0.0000 0.5000 (multiplicity 3)
Zn 0.0000 0.0000 0.2457 (multiplicity 6)
Au 0.0000 0.0000 0.0000 (multiplicity 3)